Record 1
NaLiInCu, relaxed, DFT GGA-PBE; Fermi-level density of states = 0.433 states/eV per atom; energy relative to the elements = -34 meV/atom
1.0
0.000 3.342 3.342
3.342 0.000 3.342
3.342 3.342 0.000
Na Li In Cu
1 1 1 1
direct
0.000 0.000 0.000
0.750 0.750 0.750
0.500 0.500 0.500
0.250 0.250 0.250

Record 2
Th2SnPd6, relaxed, DFT GGA-PBE; Fermi-level density of states = 0.670 states/eV per atom; energy relative to the elements = -777 meV/atom
1.0
5.844 0.000 0.000
-2.922 5.061 0.000
0.000 0.000 6.082
Th Sn Pd
2 1 6
direct
0.333 0.667 0.305
0.667 0.333 0.695
0.000 0.000 0.500
0.177 0.354 0.823
0.177 0.823 0.823
0.354 0.177 0.177
0.646 0.823 0.823
0.823 0.177 0.177
0.823 0.646 0.177

Record 3
AsRh2Cl, relaxed, DFT GGA-PBE; Fermi-level density of states = 1.089 states/eV per atom; uncorrected formation energy = 0.85 eV/f.u.; energy relative to the lowest polymorph listed for this composition = 416.3 meV/atom
1.0
1.435 -2.572 0.000
1.435 2.572 0.000
0.000 0.000 9.711
As Rh Cl
1 2 1
direct
0.000 0.000 0.000
0.000 0.000 0.554
0.500 0.500 0.791
0.500 0.500 0.359

Record 4
Mg2H5Ir2, relaxed, DFT GGA-PBE; Fermi-level density of states = 0.127 states/eV per atom; energy relative to the lowest polymorph listed for this composition = 0.0 meV/atom
1.0
3.085 0.000 0.000
0.000 3.485 0.000
1.525 1.729 7.800
Mg H Ir
2 5 2
direct
0.000 0.000 0.000
0.214 0.217 0.564
0.368 0.867 0.269
0.507 0.507 0.988
0.610 0.112 0.778
0.721 0.725 0.550
0.836 0.337 0.331
0.392 0.392 0.218
0.616 0.619 0.764

Record 5
La2TlSn, relaxed, DFT GGA-PBE; Fermi-level density of states = 0.946 states/eV per atom; energy relative to the elements = -614 meV/atom
1.0
6.506 0.000 0.000
0.000 4.531 0.000
-2.931 0.000 8.934
La Tl Sn
4 2 2
direct
0.199 0.250 0.428
0.290 0.750 0.066
0.710 0.250 0.934
0.801 0.750 0.572
0.382 0.750 0.705
0.618 0.250 0.295
0.128 0.250 0.792
0.872 0.750 0.208

Record 6
Ac2AgBPd6, relaxed, DFT GGA-PBE; Fermi-level density of states = 0.454 states/eV per atom; energy relative to the elements = -610 meV/atom
1.0
5.856 0.000 0.000
2.922 5.090 0.000
2.915 1.657 6.798
Ac Ag B Pd
2 1 1 6
direct
0.227 0.231 0.318
0.773 0.769 0.682
0.500 0.500 0.500
0.000 0.000 0.000
0.229 0.710 0.829
0.231 0.226 0.822
0.282 0.775 0.176
0.718 0.225 0.824
0.769 0.774 0.178
0.771 0.290 0.171